Entry 1:
Crystalline LiSmUS4 at its relaxed geometry, computed with PBE.

The structure in POSCAR format:
```
LiSmUS4
1.0
-6.8384 2.9981 2.8865
-4.1531 -4.0969 5.5169
-0.3168 2.6866 7.5598
Li Sm U S
2 2 2 8
direct
0.6180 0.6320 0.1320
0.3820 0.3680 0.8680
0.0000 0.0000 0.0000
0.0000 0.5000 0.5000
0.5000 0.0000 0.5000
0.0000 0.0000 0.5000
0.7528 0.7684 0.7260
0.2472 0.7740 0.7316
0.7528 0.2260 0.2684
0.2472 0.2316 0.2740
0.2286 0.7636 0.2636
0.7443 0.7636 0.2636
0.2557 0.2364 0.7364
0.7714 0.2364 0.7364
```

Summary:
Formation energy (no corrections): -1603 meV/atom
Space group: Imma (74)
Total magnetization: 4.0 Bohr magnetons per cell
N(E_F): 9.20 states/eV/cell
Crystal system: orthorhombic
V: 26.15 Å³/atom

---

Entry 2:
Crystalline ScIrRu2 at its relaxed geometry, computed with PBE.

The structure in POSCAR format:
```
ScIrRu2
1.0
-2.7203 -3.4428 -1.4787
-0.5398 -0.7279 2.6878
-3.8586 2.7929 0.5960
Ir Ru Sc
1 2 1
direct
0.5000 0.7500 0.7500
0.0000 0.9400 0.9879
0.0000 0.5600 0.5121
0.5000 0.2500 0.2500
```

Summary:
Energy of formation: -0.05 eV per atom
Space group: P2/m (10)
Energy above the lowest structure with this stoichiometry: 203 meV per atom
Total magnetization: 0.0 Bohr magnetons per cell
N(E_F): 6.43 states/eV/cell
Crystal system: monoclinic
V: 15.65 Å³/atom

---

Entry 3:
Crystalline Sc6TlPt5 at its relaxed geometry, computed with PBE.

The structure in POSCAR format:
```
Sc6TlPt5
1.0
-2.6430 -3.9598 0.2062
5.0767 -3.5112 -2.3553
3.6624 0.8952 6.5595
Sc Tl Pt
6 1 5
direct
0.8304 0.7445 0.6534
0.8304 0.2555 0.6534
0.5000 0.2642 0.0000
0.5000 0.7358 0.0000
0.1696 0.7445 0.3466
0.1696 0.2555 0.3466
0.0000 0.0000 0.0000
0.6511 0.5000 0.3277
0.3376 0.0000 0.6777
0.0000 0.5000 0.0000
0.6624 0.0000 0.3223
0.3489 0.5000 0.6723
```

Summary:
Energy of formation: -1.05 eV per atom
Space group: P2/m (10)
Total magnetization: 0.0 Bohr magnetons per cell
N(E_F): 6.84 states/eV/cell
Crystal system: monoclinic
V: 18.74 Å³/atom

---

Entry 4:
Crystalline Mg2FeBOs at its relaxed geometry, computed with PBE.

The structure in POSCAR format:
```
Mg2FeBOs
1.0
-1.7954 -3.8906 -2.0671
3.3931 -2.2582 1.3032
-2.2757 -1.0923 4.0325
Mg B Os Fe
2 1 1 1
direct
0.0000 0.0000 0.5000
0.5000 0.0000 0.0000
0.5000 0.5000 0.5000
0.0000 0.5000 0.0000
0.0000 0.0000 0.0000
```

Summary:
Energy of formation: 1.60 eV per atom
Space group: P4/mmm (123)
Total magnetization: 1.5 Bohr magnetons per cell
N(E_F): 4.47 states/eV/cell
Crystal system: tetragonal
V: 19.37 Å³/atom

---

Entry 5:
Crystalline Ho2PuRhN4 at its relaxed geometry, computed with PBE.

The structure in POSCAR format:
```
Ho2PuRhN4
1.0
3.3295 0.0000 0.0000
-1.6647 5.7556 0.0000
0.0000 0.0000 11.5557
Ho Pu Rh N
4 2 2 8
direct
0.3709 0.7418 0.5481
0.6291 0.2582 0.0481
0.6291 0.2582 0.4519
0.3709 0.7418 0.9519
0.1182 0.2364 0.7500
0.8818 0.7636 0.2500
0.8567 0.7135 0.7500
0.1433 0.2865 0.2500
0.2778 0.5556 0.1308
0.7222 0.4444 0.6308
0.7222 0.4444 0.8692
0.2778 0.5556 0.3692
0.0000 0.0000 0.5000
0.0000 0.0000 0.0000
0.4692 0.9383 0.7500
0.5308 0.0617 0.2500
```

Summary:
Formation energy (no corrections): -966 meV/atom
Space group: Cmcm (63)
Total magnetization: 7.9 Bohr magnetons per cell
N(E_F): 12.28 states/eV/cell
Crystal system: orthorhombic
V: 13.84 Å³/atom

---

Entry 6:
Crystalline CuPt2Rh at its relaxed geometry, computed with PBE.

The structure in POSCAR format:
```
CuPt2Rh
1.0
-1.7794 0.2903 -2.0287
1.7721 -2.0550 -0.0503
-6.0505 -5.3287 4.5445
Cu Pt Rh
1 2 1
direct
0.5000 0.5000 0.7461
0.0000 0.0000 0.9862
0.5000 0.5000 0.2559
0.0000 0.0000 0.5118
```

Summary:
Energy of formation: 0.05 eV per atom
Space group: Cmm2 (35)
Total magnetization: 0.0 Bohr magnetons per cell
N(E_F): 5.33 states/eV/cell
Crystal system: orthorhombic
V: 14.81 Å³/atom

---

Entry 7:
Crystalline HfScAl2P at its relaxed geometry, computed with PBE.

The structure in POSCAR format:
```
HfScAl2P
1.0
-1.3679 -2.3179 -3.8035
-0.0787 -4.1106 2.5334
-4.4535 0.7796 1.1266
Sc P Hf Al
1 1 1 2
direct
0.5000 0.5000 0.5000
0.0000 0.0000 0.0000
0.0000 0.5000 0.0000
0.0000 0.0000 0.5000
0.5000 0.0000 0.0000
```

Summary:
Energy of formation: 0.12 eV per atom
Space group: P4/mmm (123)
Total magnetization: 0.0 Bohr magnetons per cell
N(E_F): 4.12 states/eV/cell
Crystal system: tetragonal
V: 20.97 Å³/atom

---

Entry 8:
Crystalline AcGa2CuSi at its relaxed geometry, computed with PBE.

The structure in POSCAR format:
```
AcGa2CuSi
1.0
4.3744 0.0000 0.0000
0.0000 4.4736 0.0000
-2.1872 -2.2368 5.1079
Ac Ga Cu Si
1 2 1 1
direct
0.4415 0.4415 0.8829
0.6935 0.1935 0.3871
0.0631 0.0631 0.1262
0.1974 0.6974 0.3948
0.8166 0.8166 0.6333
```

Summary:
Formation energy (no corrections): -449 meV/atom
Space group: Imm2 (44)
Total magnetization: 0.0 Bohr magnetons per cell
N(E_F): 1.18 states/eV/cell
Crystal system: orthorhombic
V: 19.99 Å³/atom